# 1
A plane-wave DFT calculation with GGA-PBEsol was carried out for a relaxed HfP crystal. Values from VASP.

Properties
Energy of formation from the pure elements ... -1.36 eV per atom
Calculated volume ... 140 Å³/cell
Space-group type ... P6_3/mmc (194)

Structure (Quantum ESPRESSO input):
```
&SYSTEM
  ibrav = 0, nat = 8, ntyp = 2
/
ATOMIC_SPECIES
Hf 178.49 Hf.upf
P 30.97 P.upf
ATOMIC_POSITIONS crystal
Hf 0.333 0.667 0.116
Hf 0.333 0.667 0.384
Hf 0.667 0.333 0.616
Hf 0.667 0.333 0.884
P 0.000 0.000 0.000
P 0.000 0.000 0.500
P 0.333 0.667 0.750
P 0.667 0.333 0.250
CELL_PARAMETERS angstrom
3.624 0.000 0.000
-1.812 3.138 0.000
0.000 0.000 12.296
```


# 2
A plane-wave DFT calculation with GGA-PBEsol was carried out for a relaxed TlSbS2 crystal. Values from VASP.

Properties
Calculated volume ... 208 Å³/cell
Raw formation energy ... -0.312 eV per atom
Space-group type ... P-1 (2)

Structure (Quantum ESPRESSO input):
```
&SYSTEM
  ibrav = 0, nat = 8, ntyp = 3
/
ATOMIC_SPECIES
Tl 204.38 Tl.upf
Sb 121.76 Sb.upf
S 32.06 S.upf
ATOMIC_POSITIONS crystal
Tl 0.129 0.355 0.215
Tl 0.871 0.645 0.785
Sb 0.347 0.080 0.781
Sb 0.653 0.920 0.219
S 0.040 0.829 0.252
S 0.412 0.716 0.673
S 0.588 0.284 0.327
S 0.960 0.171 0.748
CELL_PARAMETERS angstrom
6.029 0.000 0.000
0.179 6.150 0.000
2.410 1.684 5.619
```


# 3
A plane-wave DFT calculation with GGA-PBEsol was carried out for a relaxed SbPt2F crystal. Values from VASP.

Properties
Calculated volume ... 61 Å³/cell
Raw formation energy ... -0.385 eV per atom
Space-group type ... Fm-3m (225)

Structure (Quantum ESPRESSO input):
```
&SYSTEM
  ibrav = 0, nat = 4, ntyp = 3
/
ATOMIC_SPECIES
Sb 121.76 Sb.upf
Pt 195.08 Pt.upf
F 19.00 F.upf
ATOMIC_POSITIONS crystal
Sb 0.000 0.000 0.000
Pt 0.250 0.250 0.250
Pt 0.750 0.750 0.750
F 0.500 0.500 0.500
CELL_PARAMETERS angstrom
0.000 3.121 3.121
3.121 0.000 3.121
3.121 3.121 0.000
```


# 4
A plane-wave DFT calculation with GGA-PBEsol was carried out for a relaxed SrAgH3 crystal. Values from VASP.

Properties
Calculated total energy ... -16.45 eV/cell
Calculated volume ... 59 Å³/cell
Space-group type ... Pm-3m (221)

Structure (Quantum ESPRESSO input):
```
&SYSTEM
  ibrav = 0, nat = 5, ntyp = 3
/
ATOMIC_SPECIES
Sr 87.62 Sr.upf
Ag 107.87 Ag.upf
H 1.01 H.upf
ATOMIC_POSITIONS crystal
Sr 0.000 0.000 0.000
Ag 0.500 0.500 0.500
H 0.000 0.500 0.500
H 0.500 0.000 0.500
H 0.500 0.500 0.000
CELL_PARAMETERS angstrom
3.899 0.000 0.000
0.000 3.899 0.000
0.000 0.000 3.899
```


# 5
A plane-wave DFT calculation with GGA-PBEsol was carried out for a relaxed ZnCoCl2 crystal. Values from VASP.

Properties
Calculated volume ... 69 Å³/cell
Distance to the lowest polymorph of the same formula ... 158 meV per atom
Raw formation energy ... -0.061 eV per atom
Space-group type ... P4mm (99)

Structure (Quantum ESPRESSO input):
```
&SYSTEM
  ibrav = 0, nat = 4, ntyp = 3
/
ATOMIC_SPECIES
Zn 65.41 Zn.upf
Co 58.93 Co.upf
Cl 35.45 Cl.upf
ATOMIC_POSITIONS crystal
Zn 0.000 0.000 0.000
Co 0.500 0.500 0.852
Cl 0.000 0.000 0.630
Cl 0.500 0.500 0.194
CELL_PARAMETERS angstrom
3.232 0.000 0.000
0.000 3.232 0.000
0.000 0.000 6.606
```


# 6
A plane-wave DFT calculation with GGA-PBEsol was carried out for a relaxed Eu2CN2Cl2 crystal. Values from VASP.

Properties
Calculated volume ... 137 Å³/cell
Raw formation energy ... -1.556 eV per atom
Space-group type ... C2/m (12)

Structure (Quantum ESPRESSO input):
```
&SYSTEM
  ibrav = 0, nat = 7, ntyp = 4
/
ATOMIC_SPECIES
Eu 151.96 Eu.upf
C 12.01 C.upf
N 14.01 N.upf
Cl 35.45 Cl.upf
ATOMIC_POSITIONS crystal
Eu 0.182 0.182 0.269
Eu 0.818 0.818 0.731
C 0.500 0.500 0.500
N 0.383 0.383 0.555
N 0.617 0.617 0.445
Cl 0.127 0.127 0.849
Cl 0.873 0.873 0.151
CELL_PARAMETERS angstrom
4.776 -2.056 0.000
4.776 2.056 0.000
-1.067 0.000 6.963
```


# 7
A plane-wave DFT calculation with GGA-PBEsol was carried out for a relaxed BaTi2SiAg crystal. Values from VASP.

Properties
Calculated volume ... 130 Å³/cell
Raw formation energy ... 1.991 eV per atom
Space-group type ... P4/mmm (123)

Structure (Quantum ESPRESSO input):
```
&SYSTEM
  ibrav = 0, nat = 5, ntyp = 4
/
ATOMIC_SPECIES
Ba 137.33 Ba.upf
Ti 47.87 Ti.upf
Si 28.09 Si.upf
Ag 107.87 Ag.upf
ATOMIC_POSITIONS crystal
Ba 0.000 0.000 0.000
Ti 0.000 0.500 0.000
Ti 0.500 0.000 0.000
Si 0.000 0.000 0.500
Ag 0.500 0.500 0.500
CELL_PARAMETERS angstrom
4.936 0.000 0.000
0.000 4.936 0.000
0.000 0.000 5.317
```


# 8
A plane-wave DFT calculation with GGA-PBEsol was carried out for a relaxed AlCuSe2 crystal. Values from VASP.

Properties
Calculated volume ... 84 Å³/cell
Raw formation energy ... -0.536 eV per atom
Space-group type ... P-4m2 (115)

Structure (Quantum ESPRESSO input):
```
&SYSTEM
  ibrav = 0, nat = 4, ntyp = 3
/
ATOMIC_SPECIES
Al 26.98 Al.upf
Cu 63.55 Cu.upf
Se 78.96 Se.upf
ATOMIC_POSITIONS crystal
Al 0.000 0.000 0.000
Cu 0.500 0.500 0.000
Se 0.000 0.500 0.269
Se 0.500 0.000 0.731
CELL_PARAMETERS angstrom
3.842 0.000 0.000
0.000 3.842 0.000
0.000 0.000 5.716
```


# 9
A plane-wave DFT calculation with GGA-PBEsol was carried out for a relaxed Hf2Ti2Tl crystal. Values from VASP.

Properties
Energy of formation from the pure elements ... 0.05 eV per atom
Calculated volume ... 196 Å³/cell
Space-group type ... P4/mbm (127)

Structure (Quantum ESPRESSO input):
```
&SYSTEM
  ibrav = 0, nat = 10, ntyp = 3
/
ATOMIC_SPECIES
Hf 178.49 Hf.upf
Ti 47.87 Ti.upf
Tl 204.38 Tl.upf
ATOMIC_POSITIONS crystal
Hf 0.164 0.336 0.000
Hf 0.336 0.836 0.000
Hf 0.664 0.164 0.000
Hf 0.836 0.664 0.000
Ti 0.130 0.630 0.500
Ti 0.370 0.130 0.500
Ti 0.630 0.870 0.500
Ti 0.870 0.370 0.500
Tl 0.000 0.000 0.500
Tl 0.500 0.500 0.500
CELL_PARAMETERS angstrom
7.188 0.000 0.000
0.000 7.188 0.000
0.000 0.000 3.797
```


# 10
A plane-wave DFT calculation with GGA-PBEsol was carried out for a relaxed LiZrSc2 crystal. Values from VASP.

Properties
Energy of formation from the pure elements ... 0.26 eV per atom
Calculated volume ... 86 Å³/cell
Distance to the lowest polymorph of the same formula ... 198 meV per atom
Space-group type ... I4/mmm (139)

Structure (Quantum ESPRESSO input):
```
&SYSTEM
  ibrav = 0, nat = 4, ntyp = 3
/
ATOMIC_SPECIES
Li 6.94 Li.upf
Zr 91.22 Zr.upf
Sc 44.96 Sc.upf
ATOMIC_POSITIONS crystal
Li 0.000 0.000 0.000
Zr 0.500 0.500 0.000
Sc 0.250 0.750 0.500
Sc 0.750 0.250 0.500
CELL_PARAMETERS angstrom
-2.243 2.243 4.250
2.243 -2.243 4.250
2.243 2.243 -4.250
```


# 11
A plane-wave DFT calculation with GGA-PBEsol was carried out for a relaxed BeNi2Se crystal. Values from VASP.

Properties
Calculated volume ... 44 Å³/cell
Raw formation energy ... -0.014 eV per atom
Space-group type ... I4/mmm (139)

Structure (Quantum ESPRESSO input):
```
&SYSTEM
  ibrav = 0, nat = 4, ntyp = 3
/
ATOMIC_SPECIES
Be 9.01 Be.upf
Ni 58.69 Ni.upf
Se 78.96 Se.upf
ATOMIC_POSITIONS crystal
Be 0.000 0.000 0.000
Ni 0.250 0.750 0.500
Ni 0.750 0.250 0.500
Se 0.500 0.500 0.000
CELL_PARAMETERS angstrom
-1.846 1.846 3.255
1.846 -1.846 3.255
1.846 1.846 -3.255
```


# 12
A plane-wave DFT calculation with GGA-PBEsol was carried out for a relaxed BaHg3Pt crystal. Values from VASP.

Properties
Energy of formation from the pure elements ... -0.37 eV per atom
Calculated volume ... 143 Å³/cell
Distance to the lowest polymorph of the same formula ... 0 meV per atom
Space-group type ... Pm-3m (221)

Structure (Quantum ESPRESSO input):
```
&SYSTEM
  ibrav = 0, nat = 5, ntyp = 3
/
ATOMIC_SPECIES
Ba 137.33 Ba.upf
Hg 200.59 Hg.upf
Pt 195.08 Pt.upf
ATOMIC_POSITIONS crystal
Ba 0.000 0.000 0.000
Hg 0.000 0.500 0.500
Hg 0.500 0.000 0.500
Hg 0.500 0.500 0.000
Pt 0.500 0.500 0.500
CELL_PARAMETERS angstrom
5.223 0.000 0.000
0.000 5.223 0.000
0.000 0.000 5.223
```


# 13
A plane-wave DFT calculation with GGA-PBEsol was carried out for a relaxed ZnCd2Rh crystal. Values from VASP.

Properties
Energy of formation from the pure elements ... -0.11 eV per atom
Calculated volume ... 65 Å³/cell
Space-group type ... I4/mmm (139)

Structure (Quantum ESPRESSO input):
```
&SYSTEM
  ibrav = 0, nat = 4, ntyp = 3
/
ATOMIC_SPECIES
Zn 65.41 Zn.upf
Cd 112.41 Cd.upf
Rh 102.91 Rh.upf
ATOMIC_POSITIONS crystal
Zn 0.000 0.000 0.000
Cd 0.250 0.750 0.500
Cd 0.750 0.250 0.500
Rh 0.500 0.500 0.000
CELL_PARAMETERS angstrom
-1.951 1.951 4.252
1.951 -1.951 4.252
1.951 1.951 -4.252
```


# 14
A plane-wave DFT calculation with GGA-PBEsol was carried out for a relaxed Cr2PtRh crystal. Values from VASP.

Properties
Energy of formation from the pure elements ... -0.07 eV per atom
Calculated volume ... 51 Å³/cell
Space-group type ... Cm (8)

Structure (Quantum ESPRESSO input):
```
&SYSTEM
  ibrav = 0, nat = 4, ntyp = 3
/
ATOMIC_SPECIES
Cr 52.00 Cr.upf
Pt 195.08 Pt.upf
Rh 102.91 Rh.upf
ATOMIC_POSITIONS crystal
Cr 0.000 0.000 0.000
Cr 0.730 0.730 0.267
Pt 0.245 0.245 0.774
Rh 0.481 0.481 0.472
CELL_PARAMETERS angstrom
4.351 -1.314 0.000
4.351 1.314 0.000
-0.989 0.000 4.460
```


# 15
A plane-wave DFT calculation with GGA-PBEsol was carried out for a relaxed Li2MgHg crystal. Values from VASP.

Properties
Energy of formation from the pure elements ... -0.23 eV per atom
Calculated volume ... 74 Å³/cell
Distance to the lowest polymorph of the same formula ... 92 meV per atom
Space-group type ... Pm (6)

Structure (Quantum ESPRESSO input):
```
&SYSTEM
  ibrav = 0, nat = 4, ntyp = 3
/
ATOMIC_SPECIES
Li 6.94 Li.upf
Mg 24.30 Mg.upf
Hg 200.59 Hg.upf
ATOMIC_POSITIONS crystal
Li 0.000 0.000 0.000
Li 0.132 0.500 0.757
Mg 0.685 0.500 0.265
Hg 0.391 0.000 0.531
CELL_PARAMETERS angstrom
2.967 0.000 0.000
0.000 4.547 0.000
-1.186 0.000 5.502
```


# 16
A plane-wave DFT calculation with GGA-PBEsol was carried out for a relaxed Rb2S2O7 crystal. Values from VASP.

Properties
Calculated volume ... 743 Å³/cell
Raw formation energy ... -1.710 eV per atom
Space-group type ... P-1 (2)

Structure (Quantum ESPRESSO input):
```
&SYSTEM
  ibrav = 0, nat = 44, ntyp = 3
/
ATOMIC_SPECIES
Rb 85.47 Rb.upf
S 32.06 S.upf
O 16.00 O.upf
ATOMIC_POSITIONS crystal
Rb 0.073 0.292 0.348
Rb 0.277 0.230 0.636
Rb 0.284 0.879 0.162
Rb 0.371 0.642 0.877
Rb 0.629 0.358 0.123
Rb 0.716 0.121 0.838
Rb 0.723 0.770 0.364
Rb 0.927 0.708 0.652
S 0.166 0.363 0.094
S 0.203 0.784 0.421
S 0.219 0.129 0.900
S 0.417 0.763 0.616
S 0.583 0.237 0.384
S 0.781 0.871 0.100
S 0.797 0.216 0.579
S 0.834 0.637 0.906
O 0.003 0.413 0.141
O 0.064 0.655 0.443
O 0.089 0.062 0.818
O 0.091 0.241 0.984
O 0.136 0.943 0.389
O 0.264 0.248 0.152
O 0.278 0.508 0.063
O 0.294 0.868 0.537
O 0.294 0.997 0.956
O 0.303 0.615 0.641
O 0.342 0.710 0.358
O 0.351 0.259 0.870
O 0.429 0.286 0.442
O 0.448 0.905 0.702
O 0.552 0.095 0.298
O 0.571 0.714 0.558
O 0.649 0.741 0.130
O 0.658 0.290 0.642
O 0.697 0.385 0.359
O 0.706 0.003 0.044
O 0.706 0.132 0.463
O 0.722 0.492 0.937
O 0.736 0.752 0.848
O 0.864 0.057 0.611
O 0.909 0.759 0.016
O 0.911 0.938 0.182
O 0.936 0.345 0.557
O 0.997 0.587 0.859
CELL_PARAMETERS angstrom
7.598 0.000 0.000
-0.514 7.641 0.000
-0.383 -1.749 12.791
```


# 17
A plane-wave DFT calculation with GGA-PBEsol was carried out for a relaxed Al3Ni2Pt crystal. Values from VASP.

Properties
Energy of formation from the pure elements ... -0.76 eV per atom
Calculated volume ... 75 Å³/cell
Space-group type ... P4/mmm (123)

Structure (Quantum ESPRESSO input):
```
&SYSTEM
  ibrav = 0, nat = 6, ntyp = 3
/
ATOMIC_SPECIES
Al 26.98 Al.upf
Ni 58.69 Ni.upf
Pt 195.08 Pt.upf
ATOMIC_POSITIONS crystal
Al 0.000 0.000 0.000
Al 0.000 0.000 0.313
Al 0.000 0.000 0.687
Ni 0.500 0.500 0.157
Ni 0.500 0.500 0.843
Pt 0.500 0.500 0.500
CELL_PARAMETERS angstrom
2.884 0.000 0.000
0.000 2.884 0.000
0.000 0.000 9.073
```


# 18
A plane-wave DFT calculation with GGA-PBEsol was carried out for a relaxed Cd2FeCoAg crystal. Values from VASP.

Properties
Energy of formation from the pure elements ... 0.94 eV per atom
Calculated volume ... 99 Å³/cell
Space-group type ... P4/mmm (123)

Structure (Quantum ESPRESSO input):
```
&SYSTEM
  ibrav = 0, nat = 5, ntyp = 4
/
ATOMIC_SPECIES
Cd 112.41 Cd.upf
Fe 55.84 Fe.upf
Co 58.93 Co.upf
Ag 107.87 Ag.upf
ATOMIC_POSITIONS crystal
Cd 0.000 0.500 0.000
Cd 0.500 0.000 0.000
Fe 0.000 0.000 0.000
Co 0.000 0.000 0.500
Ag 0.500 0.500 0.500
CELL_PARAMETERS angstrom
4.875 0.000 0.000
0.000 4.875 0.000
0.000 0.000 4.146
```


# 19
A plane-wave DFT calculation with GGA-PBEsol was carried out for a relaxed ScSiRh2 crystal. Values from VASP.

Properties
Calculated volume ... 57 Å³/cell
Raw formation energy ... -0.950 eV per atom
Space-group type ... P4/mmm (123)

Structure (Quantum ESPRESSO input):
```
&SYSTEM
  ibrav = 0, nat = 4, ntyp = 3
/
ATOMIC_SPECIES
Sc 44.96 Sc.upf
Si 28.09 Si.upf
Rh 102.91 Rh.upf
ATOMIC_POSITIONS crystal
Sc 0.000 0.000 0.000
Si 0.500 0.500 0.000
Rh 0.000 0.500 0.500
Rh 0.500 0.000 0.500
CELL_PARAMETERS angstrom
4.098 0.000 0.000
0.000 4.098 0.000
0.000 0.000 3.373
```


# 20
A plane-wave DFT calculation with GGA-PBEsol was carried out for a relaxed BeCoIr3 crystal. Values from VASP.

Properties
Energy of formation from the pure elements ... 1.73 eV per atom
Calculated volume ... 83 Å³/cell
Space-group type ... Pm-3m (221)

Structure (Quantum ESPRESSO input):
```
&SYSTEM
  ibrav = 0, nat = 5, ntyp = 3
/
ATOMIC_SPECIES
Be 9.01 Be.upf
Co 58.93 Co.upf
Ir 192.22 Ir.upf
ATOMIC_POSITIONS crystal
Be 0.000 0.000 0.000
Co 0.500 0.500 0.500
Ir 0.000 0.500 0.500
Ir 0.500 0.000 0.500
Ir 0.500 0.500 0.000
CELL_PARAMETERS angstrom
4.370 0.000 0.000
0.000 4.370 0.000
0.000 0.000 4.370
```